InBi2Mo: relaxed, PBE.

## Properties
M_tot	0.42	μB/atom
volume	37.3	Å³ per atom
density	7.00	g/cm3
ΔE_f	294	kJ/mol of formula units
energy	-4.570	eV per atom

```
InBi2Mo
1.0
-3.340 3.340 6.686
3.340 -3.340 6.686
3.340 3.340 -6.686
In Bi Mo
2 4 2
Direct
0.000 0.000 0.000
0.750 0.250 0.500
0.170 0.625 0.045
0.375 0.420 0.545
0.580 0.125 0.955
0.875 0.830 0.455
0.250 0.750 0.500
0.500 0.500 0.000
```

=====

CeSnPt: relaxed, PBE.

## Properties
M_tot	0.32	μB/atom
volume	23.1	Å³ per atom
density	10.87	g/cm3
ΔE_f	-286	kJ/mol of formula units
energy	-6.314	eV per atom

```
CeSnPt
1.0
7.583 0.000 0.000
-3.791 6.567 0.000
0.000 0.000 4.176
Ce Sn Pt
3 3 3
Direct
0.000 0.589 0.000
0.411 0.411 0.000
0.589 0.000 0.000
0.000 0.253 0.500
0.253 0.000 0.500
0.747 0.747 0.500
0.000 0.000 0.000
0.333 0.667 0.500
0.667 0.333 0.500
```

=====

Ho5AlTl4: relaxed, PBE.

## Properties
M_tot	0.00	μB/atom
volume	26.3	Å³ per atom
density	10.55	g/cm3
ΔE_f	-327	kJ/mol of formula units
energy	-3.948	eV per atom

```
Ho5AlTl4
1.0
3.670 0.000 0.000
0.000 3.670 0.000
0.000 0.000 19.506
Ho Al Tl
5 1 4
Direct
0.000 0.000 0.000
0.000 0.000 0.206
0.000 0.000 0.410
0.000 0.000 0.590
0.000 0.000 0.794
0.500 0.500 0.500
0.500 0.500 0.103
0.500 0.500 0.307
0.500 0.500 0.693
0.500 0.500 0.897
```

=====

Nb2SbN: relaxed, PBE.

## Properties
ΔE to the lowest computed polymorph	0.000	eV/atom
M_tot	0.00	μB/atom
volume	16.1	Å³ per atom
formation energy from raw total energies	-0.526	eV per atom
density	8.29	g/cm3
energy	-8.673	eV per atom

```
Nb2SbN
1.0
1.667 0.962 6.695
-1.667 0.962 6.695
0.000 -1.924 6.695
Nb Sb N
2 1 1
Direct
0.220 0.220 0.220
0.780 0.780 0.780
0.000 0.000 0.000
0.500 0.500 0.500
```

=====

Ac2ErSe4: relaxed, PBE.

## Properties
ΔE to the lowest computed polymorph	0.000	eV/atom
M_tot	0.00	μB/atom
volume	32.2	Å³ per atom
formation energy from raw total energies	-1.869	eV per atom
density	6.91	g/cm3
energy	-5.686	eV per atom

```
Ac2ErSe4
1.0
7.298 0.000 0.000
0.000 8.163 0.000
0.000 0.000 15.131
Ac Er Se
8 4 16
Direct
0.005 0.104 0.141
0.005 0.396 0.641
0.495 0.604 0.141
0.495 0.896 0.641
0.505 0.104 0.359
0.505 0.396 0.859
0.995 0.604 0.359
0.995 0.896 0.859
0.000 0.000 0.500
0.000 0.500 0.000
0.500 0.000 0.000
0.500 0.500 0.500
0.123 0.541 0.822
0.123 0.959 0.322
0.182 0.697 0.543
0.182 0.803 0.043
0.318 0.197 0.543
0.318 0.303 0.043
0.377 0.041 0.822
0.377 0.459 0.322
0.623 0.541 0.678
0.623 0.959 0.178
0.682 0.697 0.957
0.682 0.803 0.457
0.818 0.197 0.957
0.818 0.303 0.457
0.877 0.041 0.678
0.877 0.459 0.178
```

=====

BaScOs2: relaxed, PBE.

## Properties
ΔE to the lowest computed polymorph	0.519	eV/atom
M_tot	0.00	μB/atom
volume	22.3	Å³ per atom
density	10.47	g/cm3
ΔE_f	252	kJ/mol of formula units
energy	-7.026	eV per atom

```
BaScOs2
1.0
-1.534 2.706 5.378
1.534 -2.706 5.378
1.534 2.706 -5.378
Ba Sc Os
1 1 2
Direct
0.000 0.000 0.000
0.693 0.193 0.500
0.281 0.781 0.500
0.468 0.468 0.000
```

=====

La2PPd2: relaxed, PBE.

## Properties
ΔE to the lowest computed polymorph	0.030	eV/atom
M_tot	0.00	μB/atom
volume	22.9	Å³ per atom
density	7.57	g/cm3
ΔE_f	-415	kJ/mol of formula units
energy	-5.991	eV per atom

```
La2PPd2
1.0
7.489 0.000 0.000
0.000 7.489 0.000
0.000 0.000 4.080
La P Pd
4 2 4
Direct
0.186 0.314 0.000
0.314 0.814 0.000
0.686 0.186 0.000
0.814 0.686 0.000
0.000 0.000 0.500
0.500 0.500 0.500
0.127 0.627 0.500
0.373 0.127 0.500
0.627 0.873 0.500
0.873 0.373 0.500
```

=====

CaPRhS2: relaxed, PBE.

## Properties
ΔE to the lowest computed polymorph	1.490	eV/atom
M_tot	0.31	μB/atom
volume	26.5	Å³ per atom
formation energy from raw total energies	1.051	eV per atom
density	2.98	g/cm3
energy	-3.553	eV per atom

```
CaPRhS2
1.0
5.065 0.000 0.000
0.000 5.065 0.000
0.000 0.000 5.170
Ca P Rh S
1 1 1 2
Direct
0.000 0.000 0.000
0.000 0.000 0.500
0.500 0.500 0.500
0.000 0.500 0.000
0.500 0.000 0.000
```

=====

NdY2ScTe6: relaxed, PBE.

## Properties
M_tot	0.00	μB/atom
volume	35.6	Å³ per atom
formation energy from raw total energies	-1.324	eV per atom
density	5.29	g/cm3
energy	-5.611	eV per atom

```
NdY2ScTe6
1.0
3.832 2.212 6.995
-3.832 2.212 6.995
0.000 -4.425 6.995
Nd Y Sc Te
1 2 1 6
Direct
0.000 0.000 0.000
0.186 0.186 0.186
0.689 0.689 0.689
0.504 0.504 0.504
0.110 0.413 0.765
0.290 0.897 0.586
0.413 0.765 0.110
0.586 0.290 0.897
0.765 0.110 0.413
0.897 0.586 0.290
```

=====

Li2Ga5Cu12: relaxed, PBE.

## Properties
M_tot	0.00	μB/atom
volume	14.9	Å³ per atom
density	6.60	g/cm3
ΔE_f	30	kJ/mol of formula units
energy	-3.568	eV per atom

```
Li2Ga5Cu12
1.0
7.020 -2.492 0.000
7.020 2.492 0.000
-2.744 0.000 8.091
Li Ga Cu
2 5 12
Direct
0.247 0.753 0.000
0.753 0.247 0.000
0.134 0.134 0.857
0.181 0.181 0.347
0.500 0.500 0.500
0.819 0.819 0.653
0.866 0.866 0.143
0.016 0.016 0.367
0.050 0.541 0.888
0.088 0.599 0.396
0.355 0.355 0.671
0.401 0.912 0.604
0.459 0.950 0.112
0.541 0.050 0.888
0.599 0.088 0.396
0.645 0.645 0.329
0.912 0.401 0.604
0.950 0.459 0.112
0.984 0.984 0.633
```

=====

AgAs2PdO6: relaxed, PBE.

## Properties
M_tot	0.10	μB/atom
volume	15.1	Å³ per atom
formation energy from raw total energies	-0.697	eV per atom
density	5.06	g/cm3
energy	-5.406	eV per atom

```
AgAs2PdO6
1.0
5.612 -5.282 0.000
5.612 5.282 0.000
-1.400 0.000 5.093
Ag As Pd O
2 4 2 12
Direct
0.101 0.899 0.750
0.899 0.101 0.250
0.202 0.378 0.760
0.378 0.202 0.260
0.622 0.798 0.740
0.798 0.622 0.240
0.283 0.717 0.250
0.717 0.283 0.750
0.043 0.225 0.676
0.148 0.592 0.874
0.225 0.043 0.176
0.308 0.391 0.486
0.391 0.308 0.986
0.408 0.852 0.626
0.592 0.148 0.374
0.609 0.692 0.014
0.692 0.609 0.514
0.775 0.957 0.824
0.852 0.408 0.126
0.957 0.775 0.324
```

=====

NdSiRu: relaxed, PBE.

## Properties
M_tot	0.00	μB/atom
volume	20.9	Å³ per atom
formation energy from raw total energies	-0.729	eV per atom
density	7.26	g/cm3
energy	-7.217	eV per atom

```
NdSiRu
1.0
-2.126 2.126 6.924
2.126 -2.126 6.924
2.126 2.126 -6.924
Nd Si Ru
2 2 2
Direct
0.152 0.152 0.000
0.848 0.848 0.000
0.403 0.403 0.000
0.597 0.597 0.000
0.000 0.500 0.500
0.500 0.000 0.500
```

=====

> Which of these has the highest volume?

InBi2Mo

=====

> Which value of density does entry 2 give?

10.87 g/cm3

=====

What did the sixth record say?
BaScOs2: relaxed, PBE.

## Properties
ΔE to the lowest computed polymorph	0.519	eV/atom
M_tot	0.00	μB/atom
volume	22.3	Å³ per atom
density	10.47	g/cm3
ΔE_f	252	kJ/mol of formula units
energy	-7.026	eV per atom

```
BaScOs2
1.0
-1.534 2.706 5.378
1.534 -2.706 5.378
1.534 2.706 -5.378
Ba Sc Os
1 1 2
Direct
0.000 0.000 0.000
0.693 0.193 0.500
0.281 0.781 0.500
0.468 0.468 0.000
```

=====

Copy entry 7 word for word.
La2PPd2: relaxed, PBE.

## Properties
ΔE to the lowest computed polymorph	0.030	eV/atom
M_tot	0.00	μB/atom
volume	22.9	Å³ per atom
density	7.57	g/cm3
ΔE_f	-415	kJ/mol of formula units
energy	-5.991	eV per atom

```
La2PPd2
1.0
7.489 0.000 0.000
0.000 7.489 0.000
0.000 0.000 4.080
La P Pd
4 2 4
Direct
0.186 0.314 0.000
0.314 0.814 0.000
0.686 0.186 0.000
0.814 0.686 0.000
0.000 0.000 0.500
0.500 0.500 0.500
0.127 0.627 0.500
0.373 0.127 0.500
0.627 0.873 0.500
0.873 0.373 0.500
```